First-principles (GGA-PBE) data for crystalline Hf2TaBi at its relaxed geometry, as listed in Alexandria.

a = 3.278 Å, b = 3.278 Å, c = 10.016 Å
α = 80.58°, β = 80.58°, γ = 60.00°
Atoms (fractional coordinates):
Hf (0.243, 0.243, 0.271)
Hf (0.089, 0.089, 0.732)
Ta (0.500, 0.500, 0.499)
Bi (0.667, 0.667, 0.998)

Calculated values
The calculation puts the total energy at -8.72 eV per atom. Its space group is R3m, No. 160. The calculation puts the formation enthalpy at 0 K at 0.1948 eV per atom.

***

First-principles (GGA-PBE) data for crystalline Hf2TaBi at its relaxed geometry, as listed in Alexandria.

a = 3.297 Å, b = 3.297 Å, c = 9.885 Å
α = 80.40°, β = 80.40°, γ = 60.00°
Atoms (fractional coordinates):
Hf (0.256, 0.256, 0.233)
Hf (0.744, 0.744, 0.767)
Ta (0.000, 0.000, 0.000)
Bi (0.500, 0.500, 0.500)

Calculated values
The calculation puts the total energy at -8.73 eV per atom. Its space group is R-3m, No. 166. The calculation puts the formation enthalpy at 0 K at 0.1800 eV per atom.

***

First-principles (GGA-PBE) data for crystalline Hf8TaBi2 at its relaxed geometry, as listed in Alexandria.

a = 5.353 Å, b = 7.859 Å, c = 7.859 Å
α = 121.84°, β = 101.03°, γ = 101.03°
Atoms (fractional coordinates):
Ta (0.500, 0.000, 0.000)
Hf (0.305, 0.608, 0.608)
Hf (0.840, 0.898, 0.690)
Hf (0.695, 0.392, 0.392)
Hf (0.500, 0.794, 0.206)
Hf (0.500, 0.206, 0.794)
Hf (0.160, 0.310, 0.102)
Hf (0.160, 0.102, 0.310)
Hf (0.840, 0.690, 0.898)
Bi (0.000, 0.699, 0.301)
Bi (0.000, 0.301, 0.699)

Calculated values
The calculation puts the total energy at -8.89 eV per atom. Its space group is C2/m, No. 12. The calculation puts the formation enthalpy at 0 K at 0.1352 eV per atom.

***

First-principles (GGA-PBE) data for crystalline HfTa3Bi at its relaxed geometry, as listed in Alexandria.

a = 5.080 Å, b = 5.080 Å, c = 5.080 Å
α = 90.00°, β = 90.00°, γ = 90.00°
Atoms (fractional coordinates):
Hf (0.500, 0.500, 0.500)
Bi (0.000, 0.000, 0.000)
Ta (0.000, 0.000, 0.500)
Ta (0.500, 0.000, 0.000)
Ta (0.000, 0.500, 0.000)

Calculated values
The energy above the most stable polymorph in this dataset comes out at 0.318 eV/atom. The calculation puts the total energy at -7.84 eV per atom. Its space group is Pm-3m, No. 221. The calculation puts the formation enthalpy at 0 K at 2.0415 eV per atom.

***

The following magnetic moment values (in μB per cell) correspond, in order, to the records above: 0.00 0.00 0.00 0.00.